This record from Alexandria describes Rb3Np2CuS6 after structural relaxation. The functional is GGA-PBE.

Lattice parameters (Å, degrees): 7.170 7.170 7.882 97.30 97.30 123.97
Each line ends with the local moment (μB).
Atoms (fractional coordinates):
S (0.568, 0.940, 0.798)  -0.11
S (0.060, 0.432, 0.202)  -0.11
Np (0.665, 0.335, 0.000)  3.33
Cu (0.000, 0.000, 0.000)  -0.09
S (0.249, 0.249, 0.840)  -0.08
S (0.940, 0.568, 0.798)  -0.11
Rb (0.500, 0.500, 0.500)  0.00
Np (0.335, 0.665, 0.000)  3.33
Rb (0.153, 0.847, 0.500)  0.00
S (0.432, 0.060, 0.202)  -0.11
S (0.751, 0.751, 0.160)  -0.08
Rb (0.847, 0.153, 0.500)  0.00

Computed properties:
energy: -5.916 eV/atom
total moment: 0.500 μB per atom
energy relative to the elements, uncorrected: -1.11 eV/atom